# 1
Crystalline Na5Hg4Pb at its relaxed geometry, computed with PBE.

The value obtained for the density of states at the Fermi level is 3.9 states/eV per cell. As for the energy of formation: -21.3 kJ per mole of atoms.

Unit cell a=3.6718 b=3.6718 c=19.7034 alpha=90.00 beta=90.00 gamma=90.00
Last column: nearest neighbours and their distance in Å.
Space group P4/mmm (No. 123)
Asymmetric unit:
Na: 0.0000 0.0000 0.0000 (multiplicity 1)  8 Hg 3.22
Na: 0.0000 0.0000 0.1937 (multiplicity 2)  8 Hg 3.22-3.23
Na: 0.0000 0.0000 0.3917 (multiplicity 2)  4 Hg 3.28, 4 Pb 3.36
Hg: 0.5000 0.5000 0.0965 (multiplicity 2)  8 Na 3.22-3.23
Hg: 0.5000 0.5000 0.2903 (multiplicity 2)  8 Na 3.22-3.28
Pb: 0.5000 0.5000 0.5000 (multiplicity 1)  8 Na 3.36, 4 Pb 3.67

# 2
Crystalline Na2HgPb at its relaxed geometry, computed with PBE.

The value obtained for the density of states at the Fermi level is 9.2 states/eV per cell. As for the energy of formation: -12.0 kJ per mole of atoms.

Unit cell a=7.5220 b=7.5220 c=7.5220 alpha=90.00 beta=90.00 gamma=90.00
Last column: nearest neighbours and their distance in Å.
Space group Fm-3m (No. 225)
Asymmetric unit:
Na: 0.2500 0.2500 0.2500 (multiplicity 8)  4 Hg 3.26, 4 Pb 3.26
Hg: 0.0000 0.0000 0.0000 (multiplicity 4)  8 Na 3.26
Pb: 0.0000 0.0000 0.5000 (multiplicity 4)  8 Na 3.26

# 3
Crystalline Na8Hg3Pb2 at its relaxed geometry, computed with PBE.

The value obtained for the density of states at the Fermi level is 8.3 states/eV per cell. As for the energy of formation: -13.7 kJ per mole of atoms.

Unit cell a=13.8919 b=10.7739 c=5.2969 alpha=90.00 beta=104.73 gamma=90.00
Last column: nearest neighbours and their distance in Å.
Space group C2/m (No. 12)
Asymmetric unit:
Na: 0.0596 0.0000 0.2812 (multiplicity 4)  4 Na 3.02-3.34, 2 Pb 3.07-3.34, 2 Hg 3.29
Na: 0.1495 0.2662 0.1100 (multiplicity 8)  3 Hg 3.22-3.37, 2 Pb 3.29-3.33, 3 Na 3.31-3.54
Na: 0.1569 0.5000 0.5843 (multiplicity 4)  2 Pb 3.22-3.42, 4 Hg 3.27-3.47, 2 Na 3.54
Hg: 0.0000 0.2678 0.5000 (multiplicity 4)  8 Na 3.27-3.37, 2 Hg 3.64
Hg: 0.0000 0.5000 0.0000 (multiplicity 2)  8 Na 3.22-3.47
Pb: 0.1940 0.0000 0.8400 (multiplicity 4)  9 Na 3.07-3.42

# 4
Crystalline Na4HgPb2 at its relaxed geometry, computed with PBE.

The value obtained for the density of states at the Fermi level is 7.2 states/eV per cell. The value obtained for the energy above the most stable polymorph in this dataset is 0.0 meV per atom. As for the energy of formation: -13.3 kJ per mole of atoms.

Unit cell a=6.1624 b=7.9515 c=9.7828 alpha=77.13 beta=71.76 gamma=67.30
Last column: nearest neighbours and their distance in Å.
Space group P1 (No. 1)
Asymmetric unit:
Na: 0.0000 0.0000 0.0000 (multiplicity 1)  2 Na 3.02-3.14, 2 Hg 3.16-3.25, 1 Pb 3.26
Na: 0.0053 0.4907 0.5181 (multiplicity 1)  2 Na 3.02-3.14, 2 Hg 3.17-3.25, 1 Pb 3.26
Na: 0.0439 0.0274 0.3979 (multiplicity 1)  1 Hg 3.16, 1 Pb 3.31
Na: 0.4554 0.9643 0.6357 (multiplicity 1)  3 Hg 3.23-3.54, 3 Pb 3.32-3.61
Na: 0.4955 0.4923 0.5178 (multiplicity 1)  2 Na 3.02-3.14, 2 Hg 3.17-3.26, 1 Pb 3.27
Na: 0.5099 0.9984 0.0004 (multiplicity 1)  2 Na 3.02-3.14, 2 Hg 3.17-3.26, 1 Pb 3.27
Na: 0.5505 0.5248 0.8825 (multiplicity 1)  3 Hg 3.23-3.53, 3 Pb 3.32-3.61
Na: 0.9618 0.4631 0.1198 (multiplicity 1)  1 Hg 3.16, 1 Pb 3.30
Hg: 0.1894 0.3184 0.8124 (multiplicity 1)  1 Pb 3.11, 6 Na 3.16-3.26, 2 Hg 3.45
Hg: 0.8162 0.1717 0.7053 (multiplicity 1)  1 Pb 3.11, 6 Na 3.16-3.26, 2 Hg 3.45
Pb: 0.0024 0.7451 0.7594 (multiplicity 1)  2 Hg 3.11, 4 Na 3.42-3.43
Pb: 0.3111 0.6756 0.2056 (multiplicity 1)  3 Pb 3.14-3.46, 6 Na 3.26-3.41
Pb: 0.5024 0.2451 0.2596 (multiplicity 1)  2 Pb 3.14, 3 Na 3.51
Pb: 0.6949 0.8143 0.3119 (multiplicity 1)  3 Pb 3.14-3.46, 6 Na 3.26-3.41

# 5
Crystalline NaHg4Pb7 at its relaxed geometry, computed with PBE.

The value obtained for the density of states at the Fermi level is 11.7 states/eV per cell. The value obtained for the energy above the most stable polymorph in this dataset is 99.6 meV per atom. As for the energy of formation: 8.4 kJ per mole of atoms.

Unit cell a=14.3994 b=5.7142 c=11.2413 alpha=90.00 beta=125.99 gamma=90.00
Last column: nearest neighbours and their distance in Å.
Space group C2/m (No. 12)
Asymmetric unit:
Na: 0.0000 0.0000 0.0000 (multiplicity 2)  2 Pb 2.86
Hg: 0.0686 0.5000 0.7750 (multiplicity 4)  8 Pb 3.12-3.34
Hg: 0.2136 0.5000 0.3264 (multiplicity 4)  6 Pb 3.11-3.38
Pb: 0.0000 0.5000 0.0000 (multiplicity 2)  2 Na 2.86, 2 Hg 3.11
Pb: 0.0806 0.0000 0.3405 (multiplicity 4)  5 Hg 3.12-3.49, 1 Na 3.28, 2 Pb 3.39-3.44
Pb: 0.1505 0.5000 0.5723 (multiplicity 4)  5 Hg 3.12-3.38, 1 Pb 3.39
Pb: 0.2145 0.0000 0.8858 (multiplicity 4)  4 Hg 3.11-3.32, 1 Pb 3.44

# 6
Crystalline Na2Hg5Pb2 at its relaxed geometry, computed with PBE.

The value obtained for the density of states at the Fermi level is 18.6 states/eV per cell. As for the energy of formation: -7.1 kJ per mole of atoms.

Unit cell a=16.5148 b=5.6560 c=10.6578 alpha=90.00 beta=90.00 gamma=90.00
Last column: nearest neighbours and their distance in Å.
Space group Ima2 (No. 46)
Asymmetric unit:
Na: 0.1410 0.2485 0.0000 (multiplicity 8)  7 Hg 3.11-3.37, 2 Pb 3.35
Hg: 0.0533 0.7490 0.0010 (multiplicity 8)  3 Pb 3.14-3.25, 3 Na 3.18-3.21, 4 Hg 3.21-3.34
Hg: 0.1326 0.5311 0.7504 (multiplicity 8)  2 Na 3.11, 3 Hg 3.21-3.24, 1 Pb 3.44
Hg: 0.2500 0.0720 0.7497 (multiplicity 4)  2 Pb 3.22-3.23, 2 Hg 3.24, 4 Na 3.37
Pb: 0.0000 0.0000 0.7513 (multiplicity 4)  6 Hg 3.14-3.44
Pb: 0.2500 0.7491 0.9997 (multiplicity 4)  8 Hg 3.22-3.53, 4 Na 3.35

# 7
Crystalline Na12Hg2Pb at its relaxed geometry, computed with PBE.

The value obtained for the density of states at the Fermi level is 13.8 states/eV per cell. As for the energy of formation: 2.8 kJ per mole of atoms.

Unit cell a=6.7235 b=6.7235 c=24.9502 alpha=90.00 beta=90.00 gamma=90.00
Last column: nearest neighbours and their distance in Å.
Space group P4/nbm (No. 125, origin choice 2)
Asymmetric unit:
Na: 0.0000 0.0000 0.0864 (multiplicity 8)  2 Pb 3.21, 4 Na 3.36, 2 Hg 3.39
Na: 0.0694 0.5694 0.4351 (multiplicity 8)  8 Na 3.43-3.65
Na: 0.2500 0.2500 0.1950 (multiplicity 4)  5 Na 3.30-3.60, 4 Hg 3.37
Na: 0.2500 0.2500 0.3271 (multiplicity 4)  5 Na 3.30-3.65
Hg: 0.2500 0.7500 0.1832 (multiplicity 4)  8 Na 3.37-3.39
Pb: 0.2500 0.7500 0.0000 (multiplicity 2)  8 Na 3.21

# 8
Crystalline Na2Hg9Pb at its relaxed geometry, computed with PBE.

The value obtained for the density of states at the Fermi level is 4.4 states/eV per cell. As for the energy of formation: -10.7 kJ per mole of atoms.

Unit cell a=4.7741 b=4.7741 c=13.8227 alpha=90.00 beta=90.00 gamma=90.00
Last column: nearest neighbours and their distance in Å.
Space group P4/mmm (No. 123)
Asymmetric unit:
Na: 0.0000 0.0000 0.1637 (multiplicity 2)  12 Hg 3.28-3.38
Hg: 0.0000 0.5000 0.0000 (multiplicity 2)  4 Na 3.29, 8 Hg 3.32-3.38
Hg: 0.0000 0.5000 0.3267 (multiplicity 4)  8 Hg 3.25-3.38, 2 Na 3.28, 2 Pb 3.38
Hg: 0.5000 0.5000 0.1672 (multiplicity 2)  8 Hg 3.25-3.32, 4 Na 3.38
Hg: 0.5000 0.5000 0.5000 (multiplicity 1)  4 Pb 3.38, 8 Hg 3.38
Pb: 0.0000 0.0000 0.5000 (multiplicity 1)  12 Hg 3.38

# 9
Crystalline Na4Hg4Pb3 at its relaxed geometry, computed with PBE.

The value obtained for the density of states at the Fermi level is 6.8 states/eV per cell. As for the energy of formation: -9.4 kJ per mole of atoms.

Unit cell a=3.4380 b=10.5290 c=17.2021 alpha=90.00 beta=90.00 gamma=90.00
Last column: nearest neighbours and their distance in Å.
Space group Immm (No. 71)
Asymmetric unit:
Na: 0.0000 0.0000 0.2134 (multiplicity 4)  6 Hg 3.14-3.38, 2 Na 3.44
Na: 0.0000 0.2320 0.5000 (multiplicity 4)  2 Hg 2.96, 2 Pb 3.30
Hg: 0.0000 0.2596 0.3286 (multiplicity 8)  3 Na 2.96-3.14, 2 Hg 3.21
Pb: 0.0000 0.0000 0.0000 (multiplicity 2)  6 Na 3.30-3.67, 2 Pb 3.44
Pb: 0.0000 0.5000 0.0983 (multiplicity 4)  3 Pb 3.38-3.44, 6 Na 3.43-3.67, 4 Hg 3.46

# 10
Crystalline NaHgPb3 at its relaxed geometry, computed with PBE.

The value obtained for the density of states at the Fermi level is 2.3 states/eV per cell. The value obtained for the energy above the most stable polymorph in this dataset is 329.6 meV per atom. As for the energy of formation: 26.0 kJ per mole of atoms.

Unit cell a=5.8157 b=5.8157 c=5.8157 alpha=90.00 beta=90.00 gamma=90.00
Last column: nearest neighbours and their distance in Å.
Space group Pm-3m (No. 221)
Asymmetric unit:
Na: 0.0000 0.0000 0.0000 (multiplicity 1)  12 Pb 4.11
Hg: 0.5000 0.5000 0.5000 (multiplicity 1)  6 Pb 2.91
Pb: 0.0000 0.5000 0.5000 (multiplicity 3)  2 Hg 2.91

Which value of energy of formation does entry 2 give? -12.0 kJ per mole of atoms

Which formula does entry 6 have? Na2Hg5Pb2